(1)
The following is a PBE-GGA calculation of an optimized crystal structure of ZrCdMo3, from Alexandria via LeMat-Bulk.

Cell: 4.852 4.852 4.852 Å, 90.00 90.00 90.00°
Fractional positions:
Zr1 0.000 0.000 0.000
Cd1 0.500 0.500 0.500
Mo1 0.000 0.500 0.500
Mo2 0.500 0.000 0.500
Mo3 0.500 0.500 0.000

Summary:
Relative energy among the computed polymorphs (kJ/mol of atoms): 28.67
DFT total energy (eV/f.u.): -31.022
Energy of formation (eV/atom): 2.187

(2)
The following is a PBE-GGA calculation of an optimized crystal structure of ZrCd2Mo, from Alexandria via LeMat-Bulk.

Cell: 3.750 3.750 5.647 Å, 90.00 90.00 90.00°
Fractional positions:
Zr1 0.000 0.000 0.000
Cd1 0.500 0.500 0.259
Cd2 0.500 0.500 0.741
Mo1 0.000 0.000 0.500

Summary:
Relative energy among the computed polymorphs (kJ/mol of atoms): 18.63
DFT total energy (eV/f.u.): -19.946
Energy of formation (eV/atom): 0.316

(3)
The following is a PBE-GGA calculation of an optimized crystal structure of CdN, from Alexandria via LeMat-Bulk.

Cell: 3.330 3.330 2.976 Å, 90.00 90.00 120.00°
Fractional positions:
Cd1 0.000 0.000 0.000
N1 0.333 0.667 0.500

Summary:
Relative energy among the computed polymorphs (kJ/mol of atoms): 100.06
DFT total energy (eV/f.u.): -6.906

(4)
The following is a PBE-GGA calculation of an optimized crystal structure of CdN, from Alexandria via LeMat-Bulk.

Cell: 3.043 5.013 8.993 Å, 84.09 82.36 90.00°
Fractional positions:
Cd1 0.000 0.000 0.000
Cd2 0.499 0.500 0.001
N1 0.011 0.695 0.464
N2 0.982 0.859 0.539

Summary:
Relative energy among the computed polymorphs (kJ/mol of atoms): 2.26
DFT total energy (eV/f.u.): -8.933

(5)
The following is a PBE-GGA calculation of an optimized crystal structure of CdN, from Alexandria via LeMat-Bulk.

Cell: 6.089 6.089 6.089 Å, 109.47 109.47 109.47°
Fractional positions:
Cd1 0.000 0.000 0.338
Cd2 0.000 0.338 0.000
Cd3 0.338 0.000 0.000
Cd4 0.662 0.662 0.662
N1 0.000 0.000 0.686
N2 0.000 0.686 0.000
N3 0.314 0.314 0.314
N4 0.686 0.000 0.000

Summary:
Relative energy among the computed polymorphs (kJ/mol of atoms): 102.27
DFT total energy (eV/f.u.): -6.860

(6)
The following is a PBE-GGA calculation of an optimized crystal structure of CdN, from Alexandria via LeMat-Bulk.

Cell: 3.636 3.636 3.636 Å, 60.00 60.00 60.00°
Fractional positions:
Cd1 0.000 0.000 0.000
N1 0.250 0.250 0.250

Summary:
Relative energy among the computed polymorphs (kJ/mol of atoms): 95.08
DFT total energy (eV/f.u.): -7.009

(7)
The following is a PBE-GGA calculation of an optimized crystal structure of CdN, from Alexandria via LeMat-Bulk.

Cell: 6.002 6.002 6.002 Å, 97.92 97.92 136.41°
Fractional positions:
Cd1 0.106 0.700 0.806
Cd2 0.300 0.106 0.406
Cd3 0.700 0.894 0.594
Cd4 0.894 0.300 0.194
N1 0.169 0.357 0.525
N2 0.357 0.831 0.188
N3 0.643 0.169 0.812
N4 0.831 0.643 0.475

Summary:
Relative energy among the computed polymorphs (kJ/mol of atoms): 90.88
DFT total energy (eV/f.u.): -7.096

(8)
The following is a PBE-GGA calculation of an optimized crystal structure of CdN, from Alexandria via LeMat-Bulk.

Cell: 3.345 3.345 5.865 Å, 90.00 90.00 120.00°
Fractional positions:
Cd1 0.000 0.000 0.000
Cd2 0.000 0.000 0.500
N1 0.333 0.667 0.250
N2 0.667 0.333 0.750

Summary:
Relative energy among the computed polymorphs (kJ/mol of atoms): 96.43
DFT total energy (eV/f.u.): -6.981

(9)
The following is a PBE-GGA calculation of an optimized crystal structure of CdN, from Alexandria via LeMat-Bulk.

Cell: 3.030 3.030 12.837 Å, 95.54 95.54 61.92°
Fractional positions:
Cd1 0.193 0.193 0.113
Cd2 0.807 0.807 0.887
N1 0.013 0.013 0.544
N2 0.987 0.987 0.456

Summary:
Relative energy among the computed polymorphs (kJ/mol of atoms): 0.00
DFT total energy (eV/f.u.): -8.980

(10)
The following is a PBE-GGA calculation of an optimized crystal structure of CdN, from Alexandria via LeMat-Bulk.

Cell: 10.130 3.488 6.475 Å, 90.00 90.00 90.00°
Fractional positions:
Cd1 0.000 0.068 0.000
Cd2 0.207 0.358 0.666
Cd3 0.293 0.642 0.166
Cd4 0.500 0.932 0.500
Cd5 0.707 0.642 0.166
Cd6 0.793 0.358 0.666
N1 0.000 0.584 0.739
N2 0.209 0.141 0.999
N3 0.291 0.859 0.499
N4 0.500 0.416 0.239
N5 0.709 0.859 0.499
N6 0.791 0.141 0.999

Summary:
Relative energy among the computed polymorphs (kJ/mol of atoms): 104.21
DFT total energy (eV/f.u.): -6.820

(11)
The following is a PBE-GGA calculation of an optimized crystal structure of CdN, from Alexandria via LeMat-Bulk.

Cell: 3.961 3.961 4.692 Å, 90.00 90.00 120.00°
Fractional positions:
Cd1 0.333 0.667 0.250
Cd2 0.667 0.333 0.750
N1 0.333 0.667 0.750
N2 0.667 0.333 0.250

Summary:
Relative energy among the computed polymorphs (kJ/mol of atoms): 88.64
DFT total energy (eV/f.u.): -7.142

(12)
The following is a PBE-GGA calculation of an optimized crystal structure of CdN, from Alexandria via LeMat-Bulk.

Cell: 5.985 5.985 3.380 Å, 90.00 90.00 90.00°
Fractional positions:
Cd1 0.000 0.000 0.000
Cd2 0.000 0.500 0.355
Cd3 0.500 0.000 0.645
Cd4 0.500 0.500 0.000
N1 0.169 0.669 0.849
N2 0.331 0.169 0.151
N3 0.669 0.831 0.151
N4 0.831 0.331 0.849

Summary:
Relative energy among the computed polymorphs (kJ/mol of atoms): 92.57
DFT total energy (eV/f.u.): -7.061